(1)
Here is an optimized crystal structure of Pm4NdOs from Alexandria. Energies are from GGA-PBE.

Summary:
Formation enthalpy at 0 K: -2 meV/atom
Total magnetic moment: 0.0 μB/cell
Space group: No. 15

Cell lengths 6.2238, 10.0067, 8.1328 Å; angles 119.11, 100.11, 109.67 degrees
Fractional positions:
Pm (0.0436, 0.1665, 0.8174)
Pm (0.7793, 0.7284, 0.6637)
Pm (0.2738, 0.6508, 0.8174)
Pm (0.3844, 0.9353, 0.6637)
Pm (0.6156, 0.0647, 0.3363)
Pm (0.7262, 0.3492, 0.1826)
Pm (0.2207, 0.2716, 0.3363)
Pm (0.9564, 0.8335, 0.1826)
Nd (0.3526, 0.6026, 0.2053)
Nd (0.6474, 0.3974, 0.7947)
Os (0.2484, 0.9984, 0.9968)
Os (0.7516, 0.0016, 0.0032)

(2)
Here is an optimized crystal structure of Pm4NdOs2 from Alexandria. Energies are from GGA-PBE.

Summary:
Formation enthalpy at 0 K: -30 meV/atom
Total magnetic moment: 0.0 μB/cell
Space group: No. 11

Cell lengths 6.5724, 8.0326, 8.0020 Å; angles 112.49, 90.00, 90.00 degrees
Fractional positions:
Pm (0.5022, 0.4172, 0.7589)
Pm (0.2500, 0.2455, 0.3231)
Pm (0.7500, 0.7545, 0.6769)
Pm (0.9978, 0.4172, 0.7589)
Pm (0.7500, 0.0205, 0.3770)
Pm (0.0022, 0.5828, 0.2411)
Pm (0.4978, 0.5828, 0.2411)
Pm (0.2500, 0.9795, 0.6230)
Nd (0.2500, 0.8413, 0.9728)
Nd (0.7500, 0.1587, 0.0272)
Os (0.2500, 0.2570, 0.9795)
Os (0.7500, 0.7430, 0.0205)
Os (0.7500, 0.3749, 0.4098)
Os (0.2500, 0.6251, 0.5902)

(3)
Here is an optimized crystal structure of Pm2NdOs from Alexandria. Energies are from GGA-PBE.

Summary:
Formation enthalpy at 0 K: 18 meV/atom
Total magnetic moment: 0.0 μB/cell
Relative energy among the computed polymorphs: 140 meV per atom
Space group: No. 123

Cell lengths 3.4869, 3.4869, 9.6425 Å; angles 90.00, 90.00, 90.00 degrees
Fractional positions:
Nd (0.5000, 0.5000, 0.5000)
Os (0.5000, 0.5000, 0.0000)
Pm (0.0000, 0.0000, 0.8227)
Pm (0.0000, 0.0000, 0.1773)

(4)
Here is an optimized crystal structure of PmNdOs from Alexandria. Energies are from GGA-PBE.

Summary:
Formation enthalpy at 0 K: 140 meV/atom
Total magnetic moment: 0.0 μB/cell
Relative energy among the computed polymorphs: 208 meV per atom
Space group: No. 156

Cell lengths 3.8008, 4.7804, 4.7804 Å; angles 120.00, 90.00, 90.00 degrees
Fractional positions:
Nd (0.2822, 0.3333, 0.6667)
Os (0.9948, 0.0000, 0.0000)
Pm (0.7230, 0.6667, 0.3333)

(5)
Here is an optimized crystal structure of Pm2NdOs from Alexandria. Energies are from GGA-PBE.

Summary:
Formation enthalpy at 0 K: 205 meV/atom
Total magnetic moment: 0.0 μB/cell
Relative energy among the computed polymorphs: 328 meV per atom
Space group: No. 166

Cell lengths 4.8289, 4.8289, 6.0159 Å; angles 66.34, 66.34, 60.00 degrees
Fractional positions:
Nd (0.5000, 0.5000, 0.5000)
Os (0.0000, 0.0000, 0.0000)
Pm (0.2706, 0.2706, 0.1883)
Pm (0.7294, 0.7294, 0.8117)

(6)
Here is an optimized crystal structure of Pm3NdOs8 from Alexandria. Energies are from GGA-PBE.

Summary:
Formation enthalpy at 0 K: -112 meV/atom
Total magnetic moment: 0.0 μB/cell
Space group: No. 160

Cell lengths 5.4272, 5.4272, 9.4066 Å; angles 73.23, 73.23, 60.00 degrees
Fractional positions:
Pm (0.3750, 0.3750, 0.8750)
Pm (0.0000, 0.0000, 0.0001)
Pm (0.5000, 0.5000, 0.4998)
Nd (0.8748, 0.8748, 0.3756)
Os (0.9380, 0.4376, 0.1867)
Os (0.4362, 0.9377, 0.6884)
Os (0.4376, 0.4376, 0.1867)
Os (0.9377, 0.9377, 0.6884)
Os (0.1876, 0.1876, 0.4372)
Os (0.6877, 0.6877, 0.9370)
Os (0.4376, 0.9380, 0.1867)
Os (0.9377, 0.4362, 0.6884)

(7)
Here is an optimized crystal structure of PmNdOs from Alexandria. Energies are from GGA-PBE.

Summary:
Formation enthalpy at 0 K: -68 meV/atom
Total magnetic moment: 0.0 μB/cell
Relative energy among the computed polymorphs: 0 meV per atom
Space group: No. 216

Cell lengths 4.9120, 4.9120, 4.9120 Å; angles 60.00, 60.00, 60.00 degrees
Fractional positions:
Nd (0.0000, 0.0000, 0.0000)
Os (0.2500, 0.2500, 0.2500)
Pm (0.5000, 0.5000, 0.5000)

(8)
Here is an optimized crystal structure of PmNdOs4 from Alexandria. Energies are from GGA-PBE.

Summary:
Formation enthalpy at 0 K: -100 meV/atom
Total magnetic moment: 0.0 μB/cell
Space group: No. 216

Cell lengths 5.4342, 5.4342, 5.4342 Å; angles 60.00, 60.00, 60.00 degrees
Fractional positions:
Nd (0.0000, 0.0000, 0.0000)
Os (0.6250, 0.6250, 0.1251)
Os (0.6250, 0.1251, 0.6250)
Os (0.6250, 0.6250, 0.6250)
Os (0.1251, 0.6250, 0.6250)
Pm (0.2500, 0.2500, 0.2500)

(9)
Here is an optimized crystal structure of PmNdOs from Alexandria. Energies are from GGA-PBE.

Summary:
Formation enthalpy at 0 K: -46 meV/atom
Total magnetic moment: 0.0 μB/cell
Relative energy among the computed polymorphs: 22 meV per atom
Space group: No. 107

Cell lengths 3.4805, 3.4805, 7.3720 Å; angles 103.65, 103.65, 90.00 degrees
Fractional positions:
Os (0.6675, 0.6675, 0.3350)
Nd (0.0432, 0.0432, 0.0863)
Pm (0.2893, 0.2893, 0.5787)

(10)
Here is an optimized crystal structure of PrNd4Os2 from Alexandria. Energies are from GGA-PBE.

Summary:
Formation enthalpy at 0 K: 3 meV/atom
Total magnetic moment: 0.0 μB/cell
Space group: No. 11

Cell lengths 6.6467, 8.0634, 8.0529 Å; angles 112.50, 90.00, 90.00 degrees
Fractional positions:
Pr (0.2500, 0.8419, 0.9733)
Pr (0.7500, 0.1581, 0.0267)
Nd (0.5025, 0.4170, 0.7587)
Nd (0.2500, 0.2449, 0.3232)
Nd (0.7500, 0.7551, 0.6768)
Nd (0.9975, 0.4170, 0.7587)
Nd (0.7500, 0.0206, 0.3766)
Nd (0.0025, 0.5830, 0.2413)
Nd (0.4975, 0.5830, 0.2413)
Nd (0.2500, 0.9794, 0.6234)
Os (0.2500, 0.2576, 0.9806)
Os (0.7500, 0.7424, 0.0194)
Os (0.7500, 0.3746, 0.4091)
Os (0.2500, 0.6254, 0.5909)

(11)
Here is an optimized crystal structure of Pr3Nd2Os2 from Alexandria. Energies are from GGA-PBE.

Summary:
Formation enthalpy at 0 K: -62 meV/atom
Total magnetic moment: 0.0 μB/cell
Space group: No. 12

Cell lengths 4.0580, 6.5627, 8.7958 Å; angles 103.81, 103.30, 108.04 degrees
Fractional positions:
Pr (0.5000, 0.0000, 0.0000)
Pr (0.1970, 0.8203, 0.5742)
Pr (0.8030, 0.1797, 0.4258)
Nd (0.6446, 0.4769, 0.8124)
Nd (0.3554, 0.5231, 0.1876)
Os (0.0399, 0.8586, 0.2205)
Os (0.9601, 0.1414, 0.7795)

(12)
Here is an optimized crystal structure of PrNd2Os from Alexandria. Energies are from GGA-PBE.

Summary:
Formation enthalpy at 0 K: 51 meV/atom
Total magnetic moment: 0.0 μB/cell
Relative energy among the computed polymorphs: 144 meV per atom
Space group: No. 123

Cell lengths 3.5125, 3.5125, 9.7457 Å; angles 90.00, 90.00, 90.00 degrees
Fractional positions:
Pr (0.5000, 0.5000, 0.5000)
Nd (0.0000, 0.0000, 0.8235)
Nd (0.0000, 0.0000, 0.1765)
Os (0.5000, 0.5000, 0.0000)

(13)
Here is an optimized crystal structure of Pr2Nd3Os2 from Alexandria. Energies are from GGA-PBE.

Summary:
Formation enthalpy at 0 K: -72 meV/atom
Total magnetic moment: 0.0 μB/cell
Space group: No. 12

Cell lengths 4.0400, 6.5365, 8.7595 Å; angles 102.71, 103.31, 108.02 degrees
Fractional positions:
Pr (0.6420, 0.4759, 0.8082)
Pr (0.3580, 0.5241, 0.1918)
Nd (0.5000, 0.0000, 0.0000)
Nd (0.1983, 0.8216, 0.5752)
Nd (0.8017, 0.1784, 0.4248)
Os (0.0451, 0.8655, 0.2244)
Os (0.9549, 0.1345, 0.7756)

(14)
Here is an optimized crystal structure of Pr2Nd2Os from Alexandria. Energies are from GGA-PBE.

Summary:
Formation enthalpy at 0 K: -13 meV/atom
Total magnetic moment: 0.0 μB/cell
Space group: No. 12

Cell lengths 7.6507, 7.2676, 8.1704 Å; angles 73.38, 57.08, 58.24 degrees
Fractional positions:
Pr (0.1738, 0.0000, 0.1029)
Pr (0.8262, 0.0000, 0.8971)
Pr (0.6467, 0.0000, 0.5958)
Pr (0.3533, 0.0000, 0.4042)
Nd (0.5745, 0.4492, 0.2548)
Nd (0.9762, 0.4492, 0.7452)
Nd (0.4255, 0.5508, 0.7452)
Nd (0.0238, 0.5508, 0.2548)
Os (0.8730, 0.2541, 0.5000)
Os (0.1270, 0.7459, 0.5000)

(15)
Here is an optimized crystal structure of PrNd2Os from Alexandria. Energies are from GGA-PBE.

Summary:
Formation enthalpy at 0 K: -93 meV/atom
Total magnetic moment: 0.0 μB/cell
Relative energy among the computed polymorphs: 0 meV per atom
Space group: No. 62

Cell lengths 6.5614, 7.5164, 9.6744 Å; angles 90.00, 90.00, 90.00 degrees
Fractional positions:
Pr (0.6405, 0.5426, 0.2500)
Pr (0.8595, 0.0426, 0.2500)
Pr (0.3595, 0.4574, 0.7500)
Pr (0.1405, 0.9574, 0.7500)
Nd (0.1696, 0.6746, 0.0666)
Nd (0.3304, 0.1746, 0.4334)
Nd (0.8304, 0.3254, 0.5666)
Nd (0.6696, 0.8254, 0.9334)
Nd (0.8304, 0.3254, 0.9334)
Nd (0.6696, 0.8254, 0.5666)
Nd (0.1696, 0.6746, 0.4334)
Nd (0.3304, 0.1746, 0.0666)
Os (0.0536, 0.3860, 0.2500)
Os (0.4464, 0.8860, 0.2500)
Os (0.9464, 0.6140, 0.7500)
Os (0.5536, 0.1140, 0.7500)

(16)
Here is an optimized crystal structure of PrNd2Os from Alexandria. Energies are from GGA-PBE.

Summary:
Formation enthalpy at 0 K: 348 meV/atom
Total magnetic moment: 0.0 μB/cell
Relative energy among the computed polymorphs: 441 meV per atom
Space group: No. 166

Cell lengths 3.8903, 3.8903, 10.9737 Å; angles 79.79, 79.79, 60.00 degrees
Fractional positions:
Pr (0.0000, 0.0000, 0.0000)
Nd (0.1143, 0.1143, 0.6571)
Nd (0.8857, 0.8857, 0.3429)
Os (0.5000, 0.5000, 0.5000)

(17)
Here is an optimized crystal structure of PrNdZnOs from Alexandria. Energies are from GGA-PBE.

Summary:
Formation enthalpy at 0 K: -84 meV/atom
Total magnetic moment: 0.0 μB/cell
Space group: No. 216

Cell lengths 5.0988, 5.0988, 5.0988 Å; angles 60.00, 60.00, 60.00 degrees
Fractional positions:
Pr (0.7500, 0.7500, 0.7500)
Nd (0.2500, 0.2500, 0.2500)
Zn (0.0000, 0.0000, 0.0000)
Os (0.5000, 0.5000, 0.5000)

(18)
Here is an optimized crystal structure of Nd8OsPt2 from Alexandria. Energies are from GGA-PBE.

Summary:
Formation enthalpy at 0 K: -424 meV/atom
Total magnetic moment: 0.0 μB/cell
Relative energy among the computed polymorphs: 0 meV per atom
Space group: No. 12

Cell lengths 5.1059, 6.9950, 9.3179 Å; angles 99.06, 105.90, 90.00 degrees
Fractional positions:
Nd (0.4138, 0.5697, 0.8275)
Nd (0.6626, 0.9634, 0.3253)
Nd (0.7964, 0.6697, 0.5928)
Nd (0.9658, 0.2142, 0.9316)
Nd (0.2036, 0.3303, 0.4072)
Nd (0.3374, 0.0366, 0.6747)
Nd (0.5862, 0.4303, 0.1725)
Nd (0.0342, 0.7858, 0.0684)
Os (0.5000, 0.0000, 0.0000)
Pt (0.7985, 0.2615, 0.5970)
Pt (0.2015, 0.7385, 0.4030)

(19)
Here is an optimized crystal structure of Nd5Os2Pt from Alexandria. Energies are from GGA-PBE.

Summary:
Formation enthalpy at 0 K: -344 meV/atom
Total magnetic moment: 0.0 μB/cell
Space group: No. 140

Cell lengths 7.7094, 7.7094, 8.9518 Å; angles 115.51, 115.51, 90.00 degrees
Fractional positions:
Nd (0.5376, 0.6821, 0.7197)
Nd (0.8179, 0.9624, 0.2803)
Nd (0.0000, 0.0000, 0.0000)
Nd (0.5000, 0.5000, 0.0000)
Nd (0.1821, 0.0376, 0.7197)
Nd (0.6821, 0.1821, 0.7197)
Nd (0.0376, 0.5376, 0.7197)
Nd (0.3179, 0.8179, 0.2803)
Nd (0.9624, 0.4624, 0.2803)
Nd (0.4624, 0.3179, 0.2803)
Os (0.1167, 0.3833, 0.0000)
Os (0.6167, 0.1167, 0.0000)
Os (0.3833, 0.8833, 0.0000)
Os (0.8833, 0.6167, 0.0000)
Pt (0.7500, 0.7500, 0.5000)
Pt (0.2500, 0.2500, 0.5000)

(20)
Here is an optimized crystal structure of Nd8OsPt2 from Alexandria. Energies are from GGA-PBE.

Summary:
Formation enthalpy at 0 K: -357 meV/atom
Total magnetic moment: 0.0 μB/cell
Relative energy among the computed polymorphs: 67 meV per atom
Space group: No. 8

Cell lengths 6.4743, 7.7575, 7.7575 Å; angles 112.36, 102.06, 102.06 degrees
Fractional positions:
Nd (0.5919, 0.3489, 0.0862)
Nd (0.5919, 0.0862, 0.3489)
Nd (0.1764, 0.3528, 0.3528)
Nd (0.9859, 0.1956, 0.8018)
Nd (0.9859, 0.8018, 0.1956)
Nd (0.7997, 0.6518, 0.6518)
Nd (0.3543, 0.9196, 0.6579)
Nd (0.3543, 0.6579, 0.9196)
Os (0.1877, 0.0052, 0.0052)
Pt (0.4859, 0.6905, 0.3237)
Pt (0.4859, 0.3237, 0.6905)